No. 1
The following is a DFT calculation (PBE-GGA) of a relaxed CdCuOs2 crystal.

As for the energy of formation: 619 meV/atom.

a b c (Å): 2.7790 4.6199 4.7884
angles (deg): 90.00 90.00 90.00
Closest atoms and distances in Å follow each position.
Fractional positions:
Cd: 0.0000 0.0000 0.0000  4 Cu 2.70, 4 Os 2.77, 2 Cd 2.78
Cu: 0.5000 0.5000 0.0000  4 Cd 2.70, 4 Os 2.77, 2 Cu 2.78
Os: 0.0000 0.5000 0.5000  6 Os 2.70-2.78, 4 Cu 2.77
Os: 0.5000 0.0000 0.5000  6 Os 2.70-2.78, 4 Cd 2.77

***

No. 2
The following is a DFT calculation (PBE-GGA) of a relaxed Ba3BMo crystal.

For the energy above the most stable polymorph in this dataset, the calculation gives 0 meV per atom. As for the energy of formation: 1145 meV/atom.

a b c (Å): 5.8973 5.8973 5.8973
angles (deg): 90.00 90.00 90.00
Closest atoms and distances in Å follow each position.
Fractional positions:
Ba: 0.0000 0.0000 0.5000  2 B 2.95
Ba: 0.0000 0.5000 0.0000  2 B 2.95
Ba: 0.5000 0.0000 0.0000  2 B 2.95
B: 0.0000 0.0000 0.0000  6 Ba 2.95
Mo: 0.5000 0.5000 0.5000  12 Ba 4.17

***

No. 3
The following is a DFT calculation (PBE-GGA) of a relaxed ZnCr2Ag crystal.

As for the energy of formation: 446 meV/atom.

a b c (Å): 2.6150 4.2671 5.0550
angles (deg): 90.00 96.66 90.00
Closest atoms and distances in Å follow each position.
Fractional positions:
Zn: 0.0000 0.0000 0.0000  2 Ag 2.53, 2 Zn 2.61, 8 Cr 2.62-2.81
Cr: 0.4729 0.5000 0.2064  1 Cr 2.11
Cr: 0.5271 0.5000 0.7936  1 Cr 2.11
Ag: 0.0000 0.0000 0.5000  2 Zn 2.53, 2 Ag 2.61

***

No. 4
The following is a DFT calculation (PBE-GGA) of a relaxed LaZr2Br crystal.

The energy relative to the elements, uncorrected comes out at -27 kJ/mol of formula units. For the energy above the most stable polymorph in this dataset, the calculation gives 198 meV per atom.

a b c (Å): 3.3286 5.2721 6.0082
angles (deg): 90.00 90.00 90.00
Closest atoms and distances in Å follow each position.
Fractional positions:
La: 0.0000 0.0000 0.0000  4 Br 3.12, 2 La 3.33, 4 Zr 3.43
Zr: 0.0000 0.5000 0.5000  6 Zr 3.12-3.33, 4 Br 3.43
Zr: 0.5000 0.0000 0.5000  6 Zr 3.12-3.33, 4 La 3.43
Br: 0.5000 0.5000 0.0000  4 La 3.12, 2 Br 3.33, 4 Zr 3.43

***

No. 5
The following is a DFT calculation (PBE-GGA) of a relaxed PmPaTl crystal.

For the energy above the most stable polymorph in this dataset, the calculation gives 0 meV per atom. As for the energy of formation: 189 meV/atom.

a b c (Å): 3.2965 5.2067 9.9591
angles (deg): 90.00 90.00 90.00
Closest atoms and distances in Å follow each position.
Fractional positions:
Pm: 0.2500 0.2500 0.0627  4 Tl 3.19-3.51, 6 Pm 3.30-3.32
Pm: 0.7500 0.7500 0.9373  4 Tl 3.19-3.51, 6 Pm 3.30-3.32
Pa: 0.2500 0.7500 0.5613  1 Tl 3.12, 6 Pa 3.30-3.31
Pa: 0.7500 0.2500 0.4387  1 Tl 3.12, 6 Pa 3.30-3.31
Tl: 0.2500 0.7500 0.2481  1 Pa 3.12, 2 Pm 3.19, 2 Tl 3.30
Tl: 0.7500 0.2500 0.7519  1 Pa 3.12, 2 Pm 3.19, 2 Tl 3.30

***

No. 6
The following is a DFT calculation (PBE-GGA) of a relaxed PmGdPuSn crystal.

As for the energy of formation: -192 meV/atom.

a b c (Å): 5.4505 5.4505 5.4505
angles (deg): 60.00 60.00 60.00
Closest atoms and distances in Å follow each position.
Fractional positions:
Pm: 0.0000 0.0000 0.0000  4 Sn 3.34, 4 Pu 3.34
Gd: 0.5000 0.5000 0.5000  4 Sn 3.34, 4 Pu 3.34
Pu: 0.2500 0.2500 0.2500  4 Gd 3.34, 4 Pm 3.34
Sn: 0.7500 0.7500 0.7500  4 Gd 3.34, 4 Pm 3.34

***

No. 7
The following is a DFT calculation (PBE-GGA) of a relaxed Na2TlCd2Pd5 crystal.

As for the energy of formation: -205 meV/atom.

a b c (Å): 9.7434 9.7434 4.1110
angles (deg): 90.00 90.00 90.00
Closest atoms and distances in Å follow each position.
Fractional positions:
Na: 0.1717 0.3283 0.0000  3 Cd 2.77-2.94
Na: 0.3283 0.8283 0.0000  3 Cd 2.77-2.94
Na: 0.6717 0.1717 0.0000  3 Cd 2.77-2.94
Na: 0.8283 0.6717 0.0000  3 Cd 2.77-2.94
Tl: 0.0000 0.0000 0.0000  8 Pd 2.89
Tl: 0.5000 0.5000 0.0000  8 Pd 2.89
Cd: 0.1272 0.6272 0.0000  6 Pd 2.70-2.73, 3 Na 2.77-2.94
Cd: 0.3728 0.1272 0.0000  6 Pd 2.70-2.73, 3 Na 2.77-2.94
Cd: 0.6272 0.8728 0.0000  6 Pd 2.70-2.73, 3 Na 2.77-2.94
Cd: 0.8728 0.3728 0.0000  6 Pd 2.70-2.73, 3 Na 2.77-2.94
Pd: 0.0000 0.5000 0.5000  4 Cd 2.70, 4 Pd 3.01
Pd: 0.0651 0.8016 0.5000  2 Cd 2.73, 3 Pd 2.88-3.01, 2 Tl 2.89
Pd: 0.1984 0.0651 0.5000  2 Cd 2.73, 3 Pd 2.88-3.01, 2 Tl 2.89
Pd: 0.3016 0.5651 0.5000  2 Cd 2.73, 3 Pd 2.88-3.01, 2 Tl 2.89
Pd: 0.4349 0.3016 0.5000  2 Cd 2.73, 3 Pd 2.88-3.01, 2 Tl 2.89
Pd: 0.5000 0.0000 0.5000  4 Cd 2.70, 4 Pd 3.01
Pd: 0.5651 0.6984 0.5000  2 Cd 2.73, 3 Pd 2.88-3.01, 2 Tl 2.89
Pd: 0.6984 0.4349 0.5000  2 Cd 2.73, 3 Pd 2.88-3.01, 2 Tl 2.89
Pd: 0.8016 0.9349 0.5000  2 Cd 2.73, 3 Pd 2.88-3.01, 2 Tl 2.89
Pd: 0.9349 0.1984 0.5000  2 Cd 2.73, 3 Pd 2.88-3.01, 2 Tl 2.89

***

No. 8
The following is a DFT calculation (PBE-GGA) of a relaxed TiMn2Ir crystal.

As for the energy of formation: 183 meV/atom.

a b c (Å): 9.5465 9.5465 9.5465
angles (deg): 158.07 158.07 31.21
Closest atoms and distances in Å follow each position.
Fractional positions:
Ti: 0.0000 0.0000 0.0000  4 Ir 2.57, 4 Mn 2.64
Ti: 0.7500 0.2500 0.5000  4 Ir 2.57, 4 Mn 2.64
Mn: 0.1293 0.6250 0.0043  4 Mn 2.55-2.59, 2 Ir 2.63, 2 Ti 2.64
Mn: 0.3750 0.3793 0.5043  4 Mn 2.55-2.59, 2 Ir 2.63, 2 Ti 2.64
Mn: 0.6207 0.1250 0.9957  4 Mn 2.55-2.59, 2 Ir 2.63, 2 Ti 2.64
Mn: 0.8750 0.8707 0.4957  4 Mn 2.55-2.59, 2 Ir 2.63, 2 Ti 2.64
Ir: 0.2500 0.7500 0.5000  4 Ti 2.57, 4 Mn 2.63
Ir: 0.5000 0.5000 0.0000  4 Ti 2.57, 4 Mn 2.63

***

no.,total magnetization (μB per formula unit),density of states at the Fermi level (states/eV/cell)
1,0.00,5.23
2,3.70,10.09
3,0.00,2.48
4,0.00,5.60
5,0.03,11.28
6,14.46,16.35
7,0.00,5.18
8,5.28,7.78